# PBE Ca2CoTe4, optimized geometry
# Crystal system: tetragonal
# VASP energy: -3.9838 eV per atom
# ΔE_f (raw): -602 meV per atom
data_Ca2CoTe4
_space_group_name_H-M_alt 'I 4/m m m'
_space_group_IT_number 139
_space_group_name_Hall '-I 4 2'
_cell_length_a 5.178
_cell_length_b 5.178
_cell_length_c 15.439
_cell_angle_alpha 90.00
_cell_angle_beta 90.00
_cell_angle_gamma 90.00
loop_
_atom_site_label
_atom_site_type_symbol
_atom_site_fract_x
_atom_site_fract_y
_atom_site_fract_z
Ca1 Ca 0.000 0.000 0.132
Co1 Co 0.000 0.000 0.500
Te1 Te 0.000 0.000 0.332
Te2 Te 0.000 0.500 0.000

---

# PBE CaCoTe2, optimized geometry
# Crystal system: tetragonal
# VASP energy: -4.1220 eV per atom
# ΔE_f (raw): -274 meV per atom
data_CaCoTe2
_space_group_name_H-M_alt 'P 4 m m'
_space_group_IT_number 99
_cell_length_a 3.436
_cell_length_b 3.436
_cell_length_c 9.002
_cell_angle_alpha 90.00
_cell_angle_beta 90.00
_cell_angle_gamma 90.00
loop_
_space_group_symop_operation_xyz
'x,y,z'
'-y,x,z'
'-x,-y,z'
'y,-x,z'
'-x,y,z'
'y,x,z'
'x,-y,z'
'-y,-x,z'
loop_
_atom_site_label
_atom_site_type_symbol
_atom_site_fract_x
_atom_site_fract_y
_atom_site_fract_z
Ca1 Ca 0.000 0.000 0.000
Co1 Co 0.500 0.500 0.250
Te1 Te 0.000 0.000 0.353
Te2 Te 0.500 0.500 0.769